A plane-wave DFT calculation with PBE was carried out for crystalline CaTaCd3 at its relaxed geometry.

abc: 5.382 5.382 5.382
angles: 90.00 90.00 90.00
Space group Pm-3m (No. 221)
One atom of each set of equivalent atoms:
1 Ca 0.000 0.000 0.000
2 Ta 0.500 0.500 0.500
3 Cd 0.000 0.500 0.500

**Relative energy among the computed polymorphs**: 0.0 kJ per mole of atoms
**ΔH_f (0 K)**: 0.68 eV per atom
**M_tot**: 1.48 μB/cell



A plane-wave DFT calculation with PBE was carried out for crystalline Ba6Br3N2O at its relaxed geometry.

abc: 7.194 12.460 8.261
angles: 90.00 106.88 90.00
Space group C2/m (No. 12)
One atom of each set of equivalent atoms:
1 Ba 0.227 0.000 0.189
2 Ba 0.230 0.332 0.188
3 Br 0.000 0.000 0.500
4 Br 0.000 0.332 0.500
5 N 0.000 0.166 0.000
6 O 0.000 0.500 0.000

**ΔE_f (raw)**: -17.57 eV per formula unit
**M_tot**: 0.00 μB/cell



A plane-wave DFT calculation with PBE was carried out for crystalline TmIrAu at its relaxed geometry.

abc: 3.529 3.529 9.254
angles: 90.00 90.00 90.00
Space group I4mm (No. 107)
One atom of each set of equivalent atoms:
1 Tm 0.000 0.000 0.000
2 Ir 0.000 0.000 0.656
3 Au 0.000 0.000 0.323

**ΔH_f (0 K)**: -0.50 eV per atom
**M_tot**: 0.00 μB/cell



A plane-wave DFT calculation with PBE was carried out for crystalline PuTlIn4 at its relaxed geometry.

abc: 5.541 10.932 5.648
angles: 90.00 107.32 90.00
Space group C2/m (No. 12)
One atom of each set of equivalent atoms:
1 Pu 0.000 0.000 0.000
2 Tl 0.000 0.500 0.500
3 In 0.000 0.168 0.500
4 In 0.000 0.320 0.000

**Relative energy among the computed polymorphs**: 0.0 kJ per mole of atoms
**ΔH_f (0 K)**: -0.01 eV per atom
**M_tot**: 12.22 μB/cell